Mg2MnRe | PBE | relaxed

```
Mg2MnRe
1.0
5.258 -0.009 0.014
2.635 4.550 -0.014
-3.538 -2.981 2.499
Mg Mn Re
2 1 1
direct
0.988 0.988 0.000 Mg
0.512 0.512 0.000 Mg
0.750 0.250 0.500 Mn
0.250 0.750 0.500 Re
```

The calculation puts the density of states at the Fermi level at 2.56 states/eV/cell. Its formation enthalpy at 0 K is 0.406 eV/atom. The space group is Immm (71). The distance to the lowest polymorph of the same formula comes out at 1.180 eV per formula unit.